# 1
Computed, not measured: an optimized crystal structure of Sr3AsN at the GGA-PBEsol level of DFT.

The space group is Pnma (No. 62) and the conventional cell measures 7.199, 10.106 and 7.084 Å, with angles of 90.00, 90.00 and 90.00 degrees. The inequivalent atoms are Sr at (0.018, 0.250, 0.066), Sr at (0.209, 0.035, 0.708), As at (0.040, 0.750, 0.491) and N at (0.000, 0.000, 0.000).

The calculated volume comes out at 25.770 Å³/atom. The formation energy without anion corrections comes out at -93.13 kJ/mol of atoms. The calculated total energy comes out at -95.922 eV per cell. The density is 4.5 Mg/m³. The relative energy among the computed polymorphs is 0.0 kJ per mole of atoms.

---

# 2
Computed, not measured: an optimized crystal structure of SrTe2AsN at the GGA-PBEsol level of DFT.

The space group is P4/mmm (No. 123) and the conventional cell measures 5.789, 5.789 and 3.726 Å, with angles of 90.00, 90.00 and 90.00 degrees. The inequivalent atoms are Sr at (0.000, 0.000, 0.000), Te at (0.000, 0.500, 0.500), As at (0.500, 0.500, 0.500) and N at (0.500, 0.500, 0.000).

The calculated volume comes out at 24.971 Å³/atom. The formation energy without anion corrections comes out at -1.53 kJ/mol of atoms. The calculated total energy comes out at -22.605 eV per cell. As for the density of states at the Fermi level: 3.88 states/eV/f.u. The density is 5.7 Mg/m³.

---

# 3
Computed, not measured: an optimized crystal structure of TcTeAsN2 at the GGA-PBEsol level of DFT.

The space group is P4/mmm (No. 123) and the conventional cell measures 3.726, 3.726 and 6.331 Å, with angles of 90.00, 90.00 and 90.00 degrees. The inequivalent atoms are Tc at (0.000, 0.000, 0.000), Te at (0.500, 0.500, 0.000), As at (0.500, 0.500, 0.500) and N at (0.000, 0.500, 0.500).

The calculated volume comes out at 17.578 Å³/atom. The formation energy without anion corrections comes out at 161.05 kJ/mol of atoms. The calculated total energy comes out at -28.606 eV per cell. As for the density of states at the Fermi level: 4.24 states/eV/f.u. The density is 6.2 Mg/m³.

---

- Which of these has the highest calculated total energy?
  SrTe2AsN

---

- Among the records above, which one has the lowest formation energy without anion corrections?
  Sr3AsN